{
  "formula": "Ho7Er2In",
  "functional": "PBE",
  "state": "relaxed",
  "n_ef_per_ev_fu": 9.3,
  "ef_ev_per_atom": 0.59,
  "lattice": [[4.318, -8.069, 0.000], [4.318, 8.069, 0.000], [0.000, 0.000, 5.283]],
  "species": ["Ho", "Ho", "Ho", "Ho", "Ho", "Ho", "Ho", "Er", "Er", "In"],
  "frac_coords": [[0.000, 0.000, 0.000], [0.216, 0.429, 0.000], [0.300, 0.700, 0.500], [0.429, 0.216, 0.000], [0.571, 0.784, 0.000], [0.700, 0.300, 0.500], [0.784, 0.571, 0.000], [0.207, 0.793, 0.000], [0.793, 0.207, 0.000], [0.500, 0.500, 0.500]]
}

{
  "formula": "Ho2Er7In3",
  "functional": "PBE",
  "state": "relaxed",
  "n_ef_per_ev_fu": 16.6,
  "ef_ev_per_atom": -0.11,
  "lattice": [[2.726, -17.605, 0.000], [2.726, 17.605, 0.000], [0.000, 0.000, 3.632]],
  "species": ["Ho", "Ho", "Er", "Er", "Er", "Er", "Er", "Er", "Er", "In", "In", "In"],
  "frac_coords": [[0.174, 0.826, 0.000], [0.826, 0.174, 0.000], [0.000, 0.000, 0.000], [0.090, 0.910, 0.500], [0.273, 0.727, 0.000], [0.428, 0.572, 0.000], [0.572, 0.428, 0.000], [0.727, 0.273, 0.000], [0.910, 0.090, 0.500], [0.351, 0.649, 0.500], [0.500, 0.500, 0.500], [0.649, 0.351, 0.500]]
}

{
  "formula": "Ho6Er2In",
  "functional": "PBE",
  "state": "relaxed",
  "n_ef_per_ev_fu": 10.5,
  "ef_ev_per_atom": -0.03,
  "lattice": [[7.856, -5.733, 0.000], [7.856, 5.733, 0.000], [-0.738, 0.000, 6.028]],
  "species": ["Ho", "Ho", "Ho", "Ho", "Ho", "Ho", "Ho", "Ho", "Ho", "Ho", "Ho", "Ho", "Er", "Er", "Er", "Er", "In", "In"],
  "frac_coords": [[0.085, 0.810, 0.981], [0.150, 0.432, 0.138], [0.190, 0.915, 0.519], [0.275, 0.518, 0.665], [0.432, 0.150, 0.638], [0.482, 0.725, 0.835], [0.518, 0.275, 0.165], [0.568, 0.850, 0.362], [0.725, 0.482, 0.335], [0.810, 0.085, 0.481], [0.850, 0.568, 0.862], [0.915, 0.190, 0.019], [0.068, 0.284, 0.573], [0.284, 0.068, 0.073], [0.716, 0.932, 0.927], [0.932, 0.716, 0.427], [0.372, 0.628, 0.250], [0.628, 0.372, 0.750]]
}